# 1
Crystalline Cd2IrPt at its relaxed geometry, computed with PBE-GGA.

Properties
DFT formation energy in eV/atom: 0.037
Symmetry: R-3m (166)

a = 9.354 Å, b = 9.354 Å, c = 9.354 Å
α = 18.10°, β = 18.10°, γ = 18.10°
Positions (direct):
Cd1 0.501 0.501 0.501
Pt1 0.750 0.750 0.750
Cd2 0.999 0.999 0.999
Ir1 0.250 0.250 0.250

# 2
Crystalline CdIr2Pt at its relaxed geometry, computed with PBE-GGA.

Properties
DFT formation energy in eV/atom: 0.102
Symmetry: C2/m (12)

a = 4.886 Å, b = 4.886 Å, c = 4.937 Å
α = 80.75°, β = 80.75°, γ = 33.32°
Positions (direct):
Ir1 0.004 0.004 0.982
Cd1 0.250 0.250 0.250
Ir2 0.496 0.496 0.518
Pt1 0.750 0.750 0.750

# 3
Crystalline CdIr4Pt at its relaxed geometry, computed with PBE-GGA.

Properties
DFT formation energy in eV/atom: 0.474
Symmetry: F-43m (216)

a = 5.214 Å, b = 5.214 Å, c = 5.214 Å
α = 60.00°, β = 60.00°, γ = 60.00°
Positions (direct):
Ir1 0.375 0.375 0.375
Ir2 0.375 0.375 0.875
Ir3 0.375 0.875 0.375
Pt1 0.750 0.750 0.750
Ir4 0.875 0.375 0.375
Cd1 0.000 0.000 0.000

# 4
Crystalline Cd2IrPt at its relaxed geometry, computed with PBE-GGA.

Properties
DFT formation energy in eV/atom: 0.117
Symmetry: R3m (160)

a = 9.711 Å, b = 9.711 Å, c = 9.711 Å
α = 17.25°, β = 17.25°, γ = 17.25°
Positions (direct):
Cd1 0.245 0.245 0.245
Cd2 0.005 0.005 0.005
Ir1 0.497 0.497 0.497
Pt1 0.754 0.754 0.754

# 5
Crystalline Cd2IrPt at its relaxed geometry, computed with PBE-GGA.

Properties
DFT formation energy in eV/atom: 0.061
Symmetry: Pmm2 (25)

a = 2.858 Å, b = 4.134 Å, c = 5.874 Å
α = 90.00°, β = 90.00°, γ = 90.00°
Positions (direct):
Cd1 0.500 0.500 0.268
Cd2 0.000 0.000 0.985
Ir1 0.000 0.000 0.499
Pt1 0.500 0.500 0.747

# 6
Crystalline CdIr2Pt at its relaxed geometry, computed with PBE-GGA.

Properties
DFT formation energy in eV/atom: 0.222
Symmetry: Imm2 (44)

a = 5.634 Å, b = 5.634 Å, c = 5.634 Å
α = 151.36°, β = 129.50°, γ = 59.09°
Positions (direct):
Ir1 0.758 0.258 0.500
Cd1 0.246 0.746 0.500
Ir2 0.982 0.982 0.000
Pt1 0.514 0.514 0.000

# 7
Crystalline Cd2IrPt at its relaxed geometry, computed with PBE-GGA.

Properties
DFT formation energy in eV/atom: -0.001
Symmetry: Pmmm (47)

a = 2.924 Å, b = 3.991 Å, c = 5.928 Å
α = 90.00°, β = 90.00°, γ = 90.00°
Positions (direct):
Cd1 0.000 0.000 0.497
Ir1 0.500 0.500 0.250
Pt1 0.500 0.500 0.750
Cd2 0.000 0.000 0.003

# 8
Crystalline CdIr2Pt at its relaxed geometry, computed with PBE-GGA.

Properties
DFT formation energy in eV/atom: 0.190
Symmetry: Cmmm (65)

a = 4.939 Å, b = 4.939 Å, c = 2.787 Å
α = 90.00°, β = 90.00°, γ = 110.48°
Positions (direct):
Ir1 0.000 0.000 0.000
Ir2 0.500 0.500 0.000
Cd1 0.000 0.500 0.500
Pt1 0.500 0.000 0.500